# PmNd2TmSe6 (PBE, relaxed)
data_PmNd2TmSe6
_cell_length_a 7.3818
_cell_length_b 7.3818
_cell_length_c 19.6546
_cell_angle_alpha 90.00
_cell_angle_beta 90.00
_cell_angle_gamma 120.00
_symmetry_space_group_name_H-M 'R 3'
_symmetry_Int_Tables_number 146
_symmetry_space_group_name_Hall 'R 3'
loop_
_atom_site_label
_atom_site_type_symbol
_atom_site_fract_x
_atom_site_fract_y
_atom_site_fract_z
_atom_site_occupancy
Pm1 Pm 0.0000 0.0000 0.0000 1
Nd1 Nd 0.0000 0.0000 0.2963 1
Nd2 Nd 0.0000 0.0000 0.7988 1
Tm1 Tm 0.0000 0.0000 0.4968 1
Se1 Se 0.0381 0.3506 0.5674 1
Se2 Se 0.0420 0.6753 0.0690 1
# Mass density = 5.78 g/cm³
# E_tot = -5.8032 eV per atom


# Pm2NdTmSe5 (PBE, relaxed)
data_Pm2NdTmSe5
_cell_length_a 5.0838
_cell_length_b 5.0838
_cell_length_c 10.9541
_cell_angle_alpha 90.00
_cell_angle_beta 90.00
_cell_angle_gamma 90.00
_symmetry_space_group_name_H-M 'P 4/m m m'
_symmetry_Int_Tables_number 123
_symmetry_space_group_name_Hall '-P 4 2'
loop_
_atom_site_label
_atom_site_type_symbol
_atom_site_fract_x
_atom_site_fract_y
_atom_site_fract_z
_atom_site_occupancy
Pm1 Pm 0.0000 0.0000 0.1687 1
Nd1 Nd 0.5000 0.5000 0.5000 1
Tm1 Tm 0.5000 0.5000 0.0000 1
Se1 Se 0.0000 0.0000 0.5000 1
Se2 Se 0.0000 0.5000 0.0000 1
Se3 Se 0.5000 0.5000 0.2479 1
# Mass density = 5.85 g/cm³
# E_tot = -5.3103 eV per atom


# Pm2Nd3TmSe6 (PBE, relaxed)
data_Pm2Nd3TmSe6
_cell_length_a 18.2530
_cell_length_b 4.1586
_cell_length_c 8.4331
_cell_angle_alpha 90.00
_cell_angle_beta 103.53
_cell_angle_gamma 90.00
_symmetry_space_group_name_H-M 'C 1 2/m 1'
_symmetry_Int_Tables_number 12
loop_
_symmetry_equiv_pos_as_xyz
'x,y,z'
'-x,-y,-z'
'-x,y,-z'
'x,-y,z'
'x+1/2,y+1/2,z'
'-x+1/2,-y+1/2,-z'
'-x+1/2,y+1/2,-z'
'x+1/2,-y+1/2,z'
loop_
_atom_site_label
_atom_site_type_symbol
_atom_site_fract_x
_atom_site_fract_y
_atom_site_fract_z
_atom_site_occupancy
Pm1 Pm 0.1689 0.0000 0.3365 1
Nd1 Nd 0.0000 0.5000 0.5000 1
Nd2 Nd 0.1711 0.0000 0.8340 1
Tm1 Tm 0.0000 0.5000 0.0000 1
Se1 Se 0.0006 0.0000 0.7644 1
Se2 Se 0.1596 0.5000 0.0818 1
Se3 Se 0.1661 0.5000 0.5814 1
# Mass density = 7.29 g/cm³
# E_tot = -5.9075 eV per atom


# Pm2NdTm3Se6 (PBE, relaxed)
data_Pm2NdTm3Se6
_cell_length_a 18.0966
_cell_length_b 4.0500
_cell_length_c 8.3690
_cell_angle_alpha 90.00
_cell_angle_beta 105.64
_cell_angle_gamma 90.00
_symmetry_space_group_name_H-M 'C 1 2/m 1'
_symmetry_Int_Tables_number 12
loop_
_symmetry_equiv_pos_as_xyz
'x,y,z'
'-x,-y,-z'
'-x,y,-z'
'x,-y,z'
'x+1/2,y+1/2,z'
'-x+1/2,-y+1/2,-z'
'-x+1/2,y+1/2,-z'
'x+1/2,-y+1/2,z'
loop_
_atom_site_label
_atom_site_type_symbol
_atom_site_fract_x
_atom_site_fract_y
_atom_site_fract_z
_atom_site_occupancy
Pm1 Pm 0.1664 0.0000 0.3326 1
Nd1 Nd 0.0000 0.5000 0.0000 1
Tm1 Tm 0.0000 0.5000 0.5000 1
Tm2 Tm 0.1661 0.0000 0.8329 1
Se1 Se 0.0037 0.0000 0.7381 1
Se2 Se 0.1629 0.5000 0.5931 1
Se3 Se 0.1714 0.5000 0.0735 1
# Mass density = 7.95 g/cm³
# E_tot = -5.8072 eV per atom